A relaxed Rb3Na7Hg2 crystal. Source: Alexandria, functional PBE.

Cell and atoms, written as POSCAR:
```
Rb3Na7Hg2
1.0
3.7769 2.1806 10.7187
-3.7769 2.1806 10.7187
0.0000 -4.3612 10.7187
Rb Na Hg
3 7 2
direct
0.0000 0.0000 0.0000 Rb
0.1437 0.1437 0.1437 Rb
0.8563 0.8563 0.8563 Rb
0.0715 0.5704 0.5704 Na
0.4296 0.4296 0.9285 Na
0.4296 0.9285 0.4296 Na
0.5000 0.5000 0.5000 Na
0.5704 0.0715 0.5704 Na
0.5704 0.5704 0.0715 Na
0.9285 0.4296 0.4296 Na
0.3335 0.3335 0.3335 Hg
0.6665 0.6665 0.6665 Hg
```

---

A relaxed Rb3Na8Hg3 crystal. Source: Alexandria, functional PBE.

Cell and atoms, written as POSCAR:
```
Rb3Na8Hg3
1.0
9.9908 -2.8734 0.0000
9.9908 2.8734 0.0000
-6.2915 0.0000 9.7139
Rb Na Hg
3 8 3
direct
0.0000 0.0000 0.0000 Rb
0.2798 0.2798 0.3010 Rb
0.7202 0.7202 0.6990 Rb
0.1276 0.1276 0.8135 Na
0.1372 0.1372 0.4323 Na
0.3428 0.3428 0.9795 Na
0.4961 0.4961 0.6518 Na
0.5039 0.5039 0.3482 Na
0.6572 0.6572 0.0205 Na
0.8628 0.8628 0.5677 Na
0.8724 0.8724 0.1865 Na
0.0000 0.0000 0.5000 Hg
0.3526 0.3526 0.7077 Hg
0.6474 0.6474 0.2923 Hg
```

---

A relaxed Rb3NaHg crystal. Source: Alexandria, functional PBE.

Cell and atoms, written as POSCAR:
```
Rb3NaHg
1.0
5.2559 0.0000 0.0000
0.0000 11.3791 0.0000
0.0000 0.0000 10.0014
Rb Na Hg
6 2 2
direct
0.2500 0.0406 0.1798 Rb
0.2500 0.4594 0.1798 Rb
0.2500 0.7500 0.5151 Rb
0.7500 0.2500 0.4849 Rb
0.7500 0.5406 0.8202 Rb
0.7500 0.9594 0.8202 Rb
0.2500 0.2500 0.8333 Na
0.7500 0.7500 0.1667 Na
0.2500 0.7500 0.9700 Hg
0.7500 0.2500 0.0300 Hg
```

Results
Offset from the most stable computed form = 0.0 kJ/mol of atoms

---

A relaxed RbNa2Hg6 crystal. Source: Alexandria, functional PBE.

Cell and atoms, written as POSCAR:
```
RbNa2Hg6
1.0
6.8787 -4.4758 0.0000
6.8787 4.4758 0.0000
-1.8824 0.0000 4.8853
Rb Na Hg
1 2 6
direct
0.0000 0.0000 0.0000 Rb
0.3519 0.3519 0.8490 Na
0.6481 0.6481 0.1510 Na
0.0907 0.4374 0.2634 Hg
0.3243 0.6757 0.5000 Hg
0.4374 0.0907 0.2634 Hg
0.5626 0.9093 0.7366 Hg
0.6757 0.3243 0.5000 Hg
0.9093 0.5626 0.7366 Hg
```

Results
Offset from the most stable computed form = 1.0 kJ/mol of atoms

---

A relaxed RbNa10Hg3 crystal. Source: Alexandria, functional PBE.

Cell and atoms, written as POSCAR:
```
RbNa10Hg3
1.0
0.0000 8.0368 8.0368
8.0368 0.0000 8.0368
8.0368 8.0368 0.0000
Rb Na Hg
2 20 6
direct
0.2500 0.2500 0.2500 Rb
0.7500 0.7500 0.7500 Rb
0.0000 0.0000 0.3361 Na
0.0000 0.0000 0.6639 Na
0.0000 0.3361 0.0000 Na
0.0000 0.3361 0.6639 Na
0.0000 0.6639 0.0000 Na
0.0000 0.6639 0.3361 Na
0.1724 0.6092 0.6092 Na
0.3361 0.0000 0.0000 Na
0.3361 0.0000 0.6639 Na
0.3361 0.6639 0.0000 Na
0.3908 0.3908 0.3908 Na
0.3908 0.3908 0.8276 Na
0.3908 0.8276 0.3908 Na
0.6092 0.1724 0.6092 Na
0.6092 0.6092 0.1724 Na
0.6092 0.6092 0.6092 Na
0.6639 0.0000 0.0000 Na
0.6639 0.0000 0.3361 Na
0.6639 0.3361 0.0000 Na
0.8276 0.3908 0.3908 Na
0.2674 0.2674 0.7326 Hg
0.2674 0.7326 0.2674 Hg
0.2674 0.7326 0.7326 Hg
0.7326 0.2674 0.2674 Hg
0.7326 0.2674 0.7326 Hg
0.7326 0.7326 0.2674 Hg
```

---

A relaxed Rb2Na2Hg3 crystal. Source: Alexandria, functional PBE.

Cell and atoms, written as POSCAR:
```
Rb2Na2Hg3
1.0
13.1662 0.0000 0.0000
0.0000 5.0188 0.0000
-6.3055 0.0000 8.2644
Rb Na Hg
4 4 6
direct
0.1885 0.0000 0.1109 Rb
0.3115 0.5000 0.8891 Rb
0.6885 0.5000 0.1109 Rb
0.8115 0.0000 0.8891 Rb
0.1389 0.0000 0.4772 Na
0.3611 0.5000 0.5228 Na
0.6389 0.5000 0.4772 Na
0.8611 0.0000 0.5228 Na
0.0000 0.5000 0.5000 Hg
0.0352 0.5000 0.2302 Hg
0.4648 0.0000 0.7698 Hg
0.5000 0.0000 0.5000 Hg
0.5352 0.0000 0.2302 Hg
0.9648 0.5000 0.7698 Hg
```

Results
Offset from the most stable computed form = 0.7 kJ/mol of atoms

---

A relaxed RbNaHg2 crystal. Source: Alexandria, functional PBE.

Cell and atoms, written as POSCAR:
```
RbNaHg2
1.0
5.3723 0.0000 0.0000
-2.6862 4.6526 0.0000
0.0000 0.0000 18.2473
Rb Na Hg
3 3 6
direct
0.0000 0.0000 0.0000 Rb
0.3333 0.6667 0.6667 Rb
0.6667 0.3333 0.3333 Rb
0.0000 0.0000 0.5000 Na
0.3333 0.6667 0.1667 Na
0.6667 0.3333 0.8333 Na
0.0000 0.0000 0.2005 Hg
0.0000 0.0000 0.7995 Hg
0.3333 0.6667 0.4662 Hg
0.3333 0.6667 0.8671 Hg
0.6667 0.3333 0.1329 Hg
0.6667 0.3333 0.5338 Hg
```

Results
Offset from the most stable computed form = 0.6 kJ/mol of atoms

---

A relaxed RbNa3Hg crystal. Source: Alexandria, functional PBE.

Cell and atoms, written as POSCAR:
```
RbNa3Hg
1.0
8.8065 0.0000 0.0000
0.0000 5.1053 0.0000
-2.5562 0.0000 9.0581
Rb Na Hg
2 6 2
direct
0.1855 0.0000 0.1751 Rb
0.8145 0.5000 0.8249 Rb
0.1084 0.0019 0.6378 Na
0.3593 0.5012 0.9000 Na
0.3598 0.5011 0.5280 Na
0.6402 0.0011 0.4720 Na
0.6407 0.0012 0.1000 Na
0.8916 0.5019 0.3622 Na
0.4857 0.0004 0.7472 Hg
0.5143 0.5004 0.2528 Hg
```

Results
Offset from the most stable computed form = 0.0 kJ/mol of atoms

---

A relaxed Rb3NaHg7 crystal. Source: Alexandria, functional PBE.

Cell and atoms, written as POSCAR:
```
Rb3NaHg7
1.0
2.0857 -12.0876 0.0000
2.0857 12.0876 0.0000
0.0000 0.0000 15.9951
Rb Na Hg
6 2 14
direct
0.1136 0.8864 0.5448 Rb
0.1136 0.8864 0.9552 Rb
0.2498 0.7502 0.2500 Rb
0.7502 0.2498 0.7500 Rb
0.8864 0.1136 0.0448 Rb
0.8864 0.1136 0.4552 Rb
0.0364 0.9636 0.2500 Na
0.9636 0.0364 0.7500 Na
0.2689 0.7311 0.5622 Hg
0.2689 0.7311 0.9378 Hg
0.3749 0.6251 0.6565 Hg
0.3749 0.6251 0.8435 Hg
0.4241 0.5759 0.2500 Hg
0.4933 0.5067 0.5954 Hg
0.4933 0.5067 0.9046 Hg
0.5067 0.4933 0.0954 Hg
0.5067 0.4933 0.4046 Hg
0.5759 0.4241 0.7500 Hg
0.6251 0.3749 0.1565 Hg
0.6251 0.3749 0.3435 Hg
0.7311 0.2689 0.0622 Hg
0.7311 0.2689 0.4378 Hg
```

---

A relaxed Rb3Na6Hg2 crystal. Source: Alexandria, functional PBE.

Cell and atoms, written as POSCAR:
```
Rb3Na6Hg2
1.0
-2.5107 2.5107 19.9832
2.5107 -2.5107 19.9832
2.5107 2.5107 -19.9832
Rb Na Hg
3 6 2
direct
0.0000 0.0000 0.0000 Rb
0.1719 0.1719 0.0000 Rb
0.8281 0.8281 0.0000 Rb
0.0885 0.5885 0.5000 Na
0.2743 0.2743 0.0000 Na
0.4115 0.9115 0.5000 Na
0.5885 0.0885 0.5000 Na
0.7257 0.7257 0.0000 Na
0.9115 0.4115 0.5000 Na
0.3591 0.3591 0.0000 Hg
0.6409 0.6409 0.0000 Hg
```

---

A relaxed Rb2Na2Hg15 crystal. Source: Alexandria, functional PBE.

Cell and atoms, written as POSCAR:
```
Rb2Na2Hg15
1.0
5.2543 3.0336 6.0174
-5.2543 3.0336 6.0174
0.0000 -6.0671 6.0174
Rb Na Hg
2 2 15
direct
0.1659 0.1659 0.1659 Rb
0.8341 0.8341 0.8341 Rb
0.4036 0.4036 0.4036 Na
0.5964 0.5964 0.5964 Na
0.0000 0.5000 0.5000 Hg
0.1281 0.1281 0.6446 Hg
0.1281 0.6446 0.1281 Hg
0.2077 0.5000 0.7923 Hg
0.2077 0.7923 0.5000 Hg
0.3554 0.8719 0.8719 Hg
0.5000 0.0000 0.5000 Hg
0.5000 0.2077 0.7923 Hg
0.5000 0.5000 0.0000 Hg
0.5000 0.7923 0.2077 Hg
0.6446 0.1281 0.1281 Hg
0.7923 0.2077 0.5000 Hg
0.7923 0.5000 0.2077 Hg
0.8719 0.3554 0.8719 Hg
0.8719 0.8719 0.3554 Hg
```

---

A relaxed Rb8Na6Hg crystal. Source: Alexandria, functional PBE.

Cell and atoms, written as POSCAR:
```
Rb8Na6Hg
1.0
6.1267 3.5372 7.8107
-6.1267 3.5372 7.8107
0.0000 -7.0745 7.8107
Rb Na Hg
8 6 1
direct
0.1589 0.6435 0.3854 Rb
0.2045 0.2045 0.2045 Rb
0.3565 0.6146 0.8411 Rb
0.3854 0.1589 0.6435 Rb
0.6146 0.8411 0.3565 Rb
0.6435 0.3854 0.1589 Rb
0.7955 0.7955 0.7955 Rb
0.8411 0.3565 0.6146 Rb
0.0717 0.4282 0.8430 Na
0.1570 0.9283 0.5718 Na
0.4282 0.8430 0.0717 Na
0.5718 0.1570 0.9283 Na
0.8430 0.0717 0.4282 Na
0.9283 0.5718 0.1570 Na
0.5000 0.5000 0.5000 Hg
```

---

A relaxed RbNa2Hg9 crystal. Source: Alexandria, functional PBE.

Cell and atoms, written as POSCAR:
```
RbNa2Hg9
1.0
10.8238 0.0000 0.0000
-5.4119 9.3737 0.0000
0.0000 0.0000 3.3815
Rb Na Hg
1 2 9
direct
0.0000 0.0000 0.0000 Rb
0.3333 0.6667 0.0000 Na
0.6667 0.3333 0.0000 Na
0.0000 0.5000 0.0000 Hg
0.1799 0.3598 0.5000 Hg
0.1799 0.8201 0.5000 Hg
0.3598 0.1799 0.5000 Hg
0.5000 0.0000 0.0000 Hg
0.5000 0.5000 0.0000 Hg
0.6402 0.8201 0.5000 Hg
0.8201 0.1799 0.5000 Hg
0.8201 0.6402 0.5000 Hg
```

Results
Offset from the most stable computed form = 4.4 kJ/mol of atoms

---

A relaxed RbNaHg crystal. Source: Alexandria, functional PBE.

Cell and atoms, written as POSCAR:
```
RbNaHg
1.0
8.2536 0.0000 0.0000
0.0000 8.2536 0.0000
0.0000 0.0000 8.2536
Rb Na Hg
4 4 4
direct
0.0000 0.0000 0.0000 Rb
0.0000 0.5000 0.5000 Rb
0.5000 0.0000 0.5000 Rb
0.5000 0.5000 0.0000 Rb
0.0000 0.0000 0.5000 Na
0.0000 0.5000 0.0000 Na
0.5000 0.0000 0.0000 Na
0.5000 0.5000 0.5000 Na
0.2500 0.2500 0.2500 Hg
0.2500 0.7500 0.7500 Hg
0.7500 0.2500 0.7500 Hg
0.7500 0.7500 0.2500 Hg
```

Results
Offset from the most stable computed form = 6.9 kJ/mol of atoms

---

A relaxed Rb7Na2Hg2 crystal. Source: Alexandria, functional PBE.

Cell and atoms, written as POSCAR:
```
Rb7Na2Hg2
1.0
5.7401 -8.7049 0.0000
5.7401 8.7049 0.0000
-1.4990 0.0000 7.6397
Rb Na Hg
7 2 2
direct
0.0000 0.0000 0.0000 Rb
0.0316 0.6213 0.7595 Rb
0.3278 0.3278 0.7935 Rb
0.3787 0.9684 0.2405 Rb
0.6213 0.0316 0.7595 Rb
0.6722 0.6722 0.2065 Rb
0.9684 0.3787 0.2405 Rb
0.3801 0.6199 0.5000 Na
0.6199 0.3801 0.5000 Na
0.3134 0.3134 0.2760 Hg
0.6866 0.6866 0.7240 Hg
```

Results
Offset from the most stable computed form = 1.0 kJ/mol of atoms

---

A relaxed RbNa3Hg4 crystal. Source: Alexandria, functional PBE.

Cell and atoms, written as POSCAR:
```
RbNa3Hg4
1.0
10.5350 0.0000 0.0000
0.0000 7.8707 0.0000
0.0000 0.0000 5.9622
Rb Na Hg
2 6 8
direct
0.0000 0.0000 0.0000 Rb
0.5000 0.0000 0.0000 Rb
0.0000 0.5000 0.0000 Na
0.2500 0.0000 0.4776 Na
0.2500 0.5000 0.3420 Na
0.5000 0.5000 0.0000 Na
0.7500 0.0000 0.5224 Na
0.7500 0.5000 0.6580 Na
0.0000 0.2927 0.5000 Hg
0.0000 0.7073 0.5000 Hg
0.2500 0.3045 0.8271 Hg
0.2500 0.6955 0.8271 Hg
0.5000 0.2927 0.5000 Hg
0.5000 0.7073 0.5000 Hg
0.7500 0.3045 0.1729 Hg
0.7500 0.6955 0.1729 Hg
```

---

A relaxed RbNa5Hg6 crystal. Source: Alexandria, functional PBE.

Cell and atoms, written as POSCAR:
```
RbNa5Hg6
1.0
5.6181 0.0000 0.0000
0.0000 7.5294 0.0000
-2.4423 0.0000 8.3248
Rb Na Hg
1 5 6
direct
0.0000 0.0000 0.0000 Rb
0.0000 0.5000 0.0000 Na
0.3536 0.0000 0.6585 Na
0.3966 0.5000 0.6759 Na
0.6034 0.5000 0.3241 Na
0.6464 0.0000 0.3415 Na
0.1183 0.2830 0.3543 Hg
0.1183 0.7170 0.3543 Hg
0.5000 0.2847 0.0000 Hg
0.5000 0.7153 0.0000 Hg
0.8817 0.2830 0.6457 Hg
0.8817 0.7170 0.6457 Hg
```

---

A relaxed RbNa5Hg2 crystal. Source: Alexandria, functional PBE.

Cell and atoms, written as POSCAR:
```
RbNa5Hg2
1.0
5.0019 0.0000 0.0000
0.0000 9.7143 0.0000
0.0000 0.0000 12.0639
Rb Na Hg
2 10 4
direct
0.0000 0.0000 0.0000 Rb
0.5000 0.5000 0.5000 Rb
0.0000 0.1843 0.3381 Na
0.0000 0.1843 0.6619 Na
0.0000 0.5000 0.0000 Na
0.0000 0.8157 0.3381 Na
0.0000 0.8157 0.6619 Na
0.5000 0.0000 0.5000 Na
0.5000 0.3157 0.1619 Na
0.5000 0.3157 0.8381 Na
0.5000 0.6843 0.1619 Na
0.5000 0.6843 0.8381 Na
0.0000 0.5000 0.2605 Hg
0.0000 0.5000 0.7395 Hg
0.5000 0.0000 0.2395 Hg
0.5000 0.0000 0.7605 Hg
```

---

A relaxed Rb2Na5Hg crystal. Source: Alexandria, functional PBE.

Cell and atoms, written as POSCAR:
```
Rb2Na5Hg
1.0
7.6797 0.0000 0.0000
-1.4524 7.5416 0.0000
-3.0878 -3.7794 6.5297
Rb Na Hg
2 5 1
direct
0.0000 0.0000 0.0000 Rb
0.4970 0.4994 0.9999 Rb
0.0698 0.5706 0.5378 Na
0.4669 0.9677 0.5396 Na
0.5217 0.4956 0.5185 Na
0.6007 0.1019 0.2034 Na
0.9931 0.0200 0.5147 Na
0.8700 0.3703 0.7415 Hg
```

Results
Offset from the most stable computed form = 1.6 kJ/mol of atoms

---

A relaxed RbNa6Hg4 crystal. Source: Alexandria, functional PBE.

Cell and atoms, written as POSCAR:
```
RbNa6Hg4
1.0
9.1530 0.0000 0.0000
-4.5765 7.9268 0.0000
0.0000 0.0000 4.8947
Rb Na Hg
1 6 4
direct
0.0000 0.0000 0.0000 Rb
0.2023 0.4047 0.5000 Na
0.2023 0.7977 0.5000 Na
0.5304 0.0607 0.0000 Na
0.5304 0.4696 0.0000 Na
0.5953 0.7977 0.5000 Na
0.9393 0.4696 0.0000 Na
0.3333 0.6667 0.0000 Hg
0.4169 0.2084 0.5000 Hg
0.7916 0.2084 0.5000 Hg
0.7916 0.5831 0.5000 Hg
```

---

Calculated density of states at the Fermi level, 5.10 6.86 2.52 3.76 5.62 3.23 1.60 2.55 4.69 7.84 7.00 9.69 5.85 1.08 7.26 2.89 5.94 4.44 4.87 4.79 states/eV/f.u. (same order as the records).
Calculated energy relative to the elements, -0.077 -0.089 -0.091 -0.195 -0.099 -0.186 -0.222 -0.110 -0.224 -0.057 -0.161 0.046 -0.127 -0.098 -0.020 -0.228 -0.219 -0.135 -0.005 -0.184 eV/atom (same order as the records).